Entry 1:
# YTh2CrN5 (PBE, optimized geometry)
data_YTh2CrN5
_chemical_formula_sum 'Y2 Th4 Cr2 N10'
_space_group_name_H-M_alt 'P 1'
_space_group_IT_number 1
_space_group_name_Hall 'P 1'
_cell_length_a 5.728
_cell_length_b 6.736
_cell_length_c 6.736
_cell_angle_alpha 90.00
_cell_angle_beta 90.00
_cell_angle_gamma 90.00
loop_
_atom_site_label
_atom_site_type_symbol
_atom_site_fract_x
_atom_site_fract_y
_atom_site_fract_z
N1 N 0.226 0.860 0.360
N2 N 0.500 0.000 0.000
N3 N 0.774 0.360 0.140
N4 N 0.500 0.500 0.500
N5 N 0.774 0.140 0.640
N6 N 0.774 0.860 0.360
N7 N 0.226 0.360 0.140
N8 N 0.226 0.640 0.860
N9 N 0.226 0.140 0.640
N10 N 0.774 0.640 0.860
Cr1 Cr 0.000 0.000 0.500
Cr2 Cr 0.000 0.500 0.000
Th1 Th 0.500 0.170 0.330
Th2 Th 0.500 0.670 0.170
Th3 Th 0.500 0.830 0.670
Th4 Th 0.500 0.330 0.830
Y1 Y 0.000 0.500 0.500
Y2 Y 0.000 0.000 0.000
# Fermi-level density of states ... 1.09 states/eV per cell
# E_tot ... -9.105 eV per atom



Entry 2:
# Th2Zn2CrN6 (PBE, optimized geometry)
data_Th2Zn2CrN6
_chemical_formula_sum 'Th2 Zn2 Cr1 N6'
_space_group_name_H-M_alt 'P 1'
_space_group_IT_number 1
_space_group_name_Hall 'P 1'
_cell_length_a 5.834
_cell_length_b 5.834
_cell_length_c 6.028
_cell_angle_alpha 61.06
_cell_angle_beta 61.06
_cell_angle_gamma 60.00
loop_
_atom_site_label
_atom_site_type_symbol
_atom_site_fract_x
_atom_site_fract_y
_atom_site_fract_z
Zn1 Zn 0.413 0.413 0.761
Zn2 Zn 0.587 0.587 0.239
N1 N 0.768 0.768 0.256
N2 N 0.792 0.232 0.744
N3 N 0.232 0.792 0.744
N4 N 0.768 0.208 0.256
N5 N 0.232 0.232 0.744
N6 N 0.208 0.768 0.256
Th1 Th 0.795 0.795 0.614
Th2 Th 0.205 0.205 0.386
Cr1 Cr 0.000 0.000 0.000
# Fermi-level density of states ... 4.83 states/eV per cell
# E_tot ... -7.270 eV per atom



Entry 3:
# Th2ZrCr2N6 (PBE, optimized geometry)
data_Th2ZrCr2N6
_chemical_formula_sum 'Th2 Zr1 Cr2 N6'
_space_group_name_H-M_alt 'P 1'
_space_group_IT_number 1
_space_group_name_Hall 'P 1'
_cell_length_a 5.435
_cell_length_b 5.435
_cell_length_c 6.676
_cell_angle_alpha 65.98
_cell_angle_beta 65.98
_cell_angle_gamma 60.00
loop_
_atom_site_label
_atom_site_type_symbol
_atom_site_fract_x
_atom_site_fract_y
_atom_site_fract_z
N1 N 0.741 0.741 0.291
N2 N 0.741 0.227 0.291
N3 N 0.259 0.773 0.709
N4 N 0.773 0.259 0.709
N5 N 0.227 0.741 0.291
N6 N 0.259 0.259 0.709
Cr1 Cr 0.605 0.605 0.186
Cr2 Cr 0.395 0.395 0.814
Th1 Th 0.213 0.213 0.362
Th2 Th 0.787 0.787 0.638
Zr1 Zr 0.000 0.000 0.000
# Fermi-level density of states ... 6.21 states/eV per cell
# E_tot ... -9.315 eV per atom



Entry 4:
# TiCrN2 (PBE, optimized geometry)
data_TiCrN2
_chemical_formula_sum 'Ti1 Cr1 N2'
_space_group_name_H-M_alt 'P 1'
_space_group_IT_number 1
_space_group_name_Hall 'P 1'
_cell_length_a 3.623
_cell_length_b 3.623
_cell_length_c 3.623
_cell_angle_alpha 60.00
_cell_angle_beta 60.00
_cell_angle_gamma 60.00
loop_
_atom_site_label
_atom_site_type_symbol
_atom_site_fract_x
_atom_site_fract_y
_atom_site_fract_z
Cr1 Cr 0.500 0.500 0.500
Ti1 Ti 0.000 0.000 0.000
N1 N 0.250 0.250 0.250
N2 N 0.750 0.750 0.750
# Fermi-level density of states ... 0.00 states/eV per cell
# E_tot ... -9.022 eV per atom



Entry 5:
# TiCrN2 (PBE, optimized geometry)
data_TiCrN2
_chemical_formula_sum 'Ti1 Cr1 N2'
_space_group_name_H-M_alt 'P 1'
_space_group_IT_number 1
_space_group_name_Hall 'P 1'
_cell_length_a 2.852
_cell_length_b 2.852
_cell_length_c 5.363
_cell_angle_alpha 74.58
_cell_angle_beta 74.58
_cell_angle_gamma 60.00
loop_
_atom_site_label
_atom_site_type_symbol
_atom_site_fract_x
_atom_site_fract_y
_atom_site_fract_z
Cr1 Cr 0.496 0.496 0.513
Ti1 Ti 0.668 0.668 0.997
N1 N 0.087 0.087 0.739
N2 N 0.250 0.250 0.250
# Fermi-level density of states ... 3.40 states/eV per cell
# E_tot ... -9.458 eV per atom



Entry 6:
# Ti5CrN6 (PBE, optimized geometry)
data_Ti5CrN6
_chemical_formula_sum 'Ti5 Cr1 N6'
_space_group_name_H-M_alt 'P 1'
_space_group_IT_number 1
_space_group_name_Hall 'P 1'
_cell_length_a 5.183
_cell_length_b 5.189
_cell_length_c 5.192
_cell_angle_alpha 60.02
_cell_angle_beta 80.32
_cell_angle_gamma 70.35
loop_
_atom_site_label
_atom_site_type_symbol
_atom_site_fract_x
_atom_site_fract_y
_atom_site_fract_z
N1 N 0.247 0.246 0.000
N2 N 0.249 0.588 0.330
N3 N 0.751 0.412 0.670
N4 N 0.249 0.917 0.670
N5 N 0.753 0.754 0.000
N6 N 0.751 0.083 0.330
Cr1 Cr 0.000 0.000 0.000
Ti1 Ti 0.500 0.163 0.674
Ti2 Ti 0.500 0.837 0.326
Ti3 Ti 0.000 0.333 0.334
Ti4 Ti 0.000 0.667 0.666
Ti5 Ti 0.500 0.500 0.000
# Fermi-level density of states ... 6.26 states/eV per cell
# E_tot ... -9.744 eV per atom